# TlIn3Br9 PBE optimized geometry
# DOS at the Fermi energy in states/eV/atom: 0.167
# Energy relative to the elements, uncorrected in kJ/mol of atoms: -70.8
data_TlIn3Br9
_chemical_formula_sum 'Tl4 In12 Br36'
_symmetry_space_group_name_H-M 'C 1 c 1'
_symmetry_Int_Tables_number 9
_symmetry_space_group_name_Hall 'C -2yc'
_cell_length_a 19.413
_cell_length_b 10.573
_cell_length_c 15.005
_cell_angle_alpha 90.00
_cell_angle_beta 128.72
_cell_angle_gamma 90.00
loop_
_atom_site_label
_atom_site_type_symbol
_atom_site_fract_x
_atom_site_fract_y
_atom_site_fract_z
_atom_site_occupancy
Tl1 Tl 0.000 0.024 0.000 1
In1 In 0.178 0.380 0.334 1
In2 In 0.330 0.137 0.714 1
In3 In 0.480 0.189 0.227 1
Br1 Br 0.026 0.319 0.924 1
Br2 Br 0.051 0.216 0.200 1
Br3 Br 0.111 0.366 0.731 1
Br4 Br 0.228 0.008 0.728 1
Br5 Br 0.249 0.320 0.569 1
Br6 Br 0.299 0.378 0.308 1
Br7 Br 0.363 0.010 0.096 1
Br8 Br 0.410 0.393 0.119 1
Br9 Br 0.473 0.204 0.900 1

# Tl2InBr PBE optimized geometry
# DOS at the Fermi energy in states/eV/atom: 0.651
# Energy relative to the elements, uncorrected in kJ/mol of atoms: -22.0
# ΔE to the lowest computed polymorph in meV per atom: 39
data_Tl2InBr
_chemical_formula_sum 'Tl6 In3 Br3'
_symmetry_space_group_name_H-M 'R 3 m'
_symmetry_Int_Tables_number 160
_symmetry_space_group_name_Hall 'R 3 -2"'
_cell_length_a 3.7752
_cell_length_b 3.7752
_cell_length_c 30.1664
_cell_angle_alpha 90.00
_cell_angle_beta 90.00
_cell_angle_gamma 120.00
loop_
_atom_site_label
_atom_site_type_symbol
_atom_site_fract_x
_atom_site_fract_y
_atom_site_fract_z
_atom_site_occupancy
Tl1 Tl 0.0000 0.0000 0.0000 1
Tl2 Tl 0.0000 0.0000 0.2422 1
In1 In 0.0000 0.0000 0.4910 1
Br1 Br 0.0000 0.0000 0.7528 1

# Tl2InBr PBE optimized geometry
# DOS at the Fermi energy in states/eV/atom: 0.552
# Energy relative to the elements, uncorrected in kJ/mol of atoms: -21.4
# ΔE to the lowest computed polymorph in meV per atom: 45
data_Tl2InBr
_chemical_formula_sum 'Tl6 In3 Br3'
_symmetry_space_group_name_H-M 'R 3 m'
_symmetry_Int_Tables_number 160
_symmetry_space_group_name_Hall 'R 3 -2"'
_cell_length_a 3.8215
_cell_length_b 3.8215
_cell_length_c 30.0326
_cell_angle_alpha 90.00
_cell_angle_beta 90.00
_cell_angle_gamma 120.00
loop_
_atom_site_label
_atom_site_type_symbol
_atom_site_fract_x
_atom_site_fract_y
_atom_site_fract_z
_atom_site_occupancy
Tl1 Tl 0.0000 0.0000 0.0000 1
Tl2 Tl 0.0000 0.0000 0.1757 1
In1 In 0.0000 0.0000 0.7552 1
Br1 Br 0.0000 0.0000 0.5869 1

# Tl2InBr PBE optimized geometry
# DOS at the Fermi energy in states/eV/atom: 0.371
# Energy relative to the elements, uncorrected in kJ/mol of atoms: -19.6
# ΔE to the lowest computed polymorph in meV per atom: 64
data_Tl2InBr
_chemical_formula_sum 'Tl4 In2 Br2'
_symmetry_space_group_name_H-M 'C m m 2'
_symmetry_Int_Tables_number 35
_symmetry_space_group_name_Hall 'C 2 -2'
_cell_length_a 4.209
_cell_length_b 5.887
_cell_length_c 9.961
_cell_angle_alpha 90.00
_cell_angle_beta 90.00
_cell_angle_gamma 90.00
loop_
_atom_site_label
_atom_site_type_symbol
_atom_site_fract_x
_atom_site_fract_y
_atom_site_fract_z
_atom_site_occupancy
Tl1 Tl 0.000 0.000 0.000 1
Tl2 Tl 0.000 0.500 0.272 1
In1 In 0.000 0.000 0.528 1
Br1 Br 0.000 0.500 0.749 1

# Tl6In3Br14 PBE optimized geometry
# DOS at the Fermi energy in states/eV/atom: 0.233
# Energy relative to the elements, uncorrected in kJ/mol of atoms: -79.9
data_Tl6In3Br14
_chemical_formula_sum 'Tl6 In3 Br14'
_symmetry_space_group_name_H-M 'P 3'
_symmetry_Int_Tables_number 143
_symmetry_space_group_name_Hall 'P 3'
_cell_length_a 12.3130
_cell_length_b 12.3130
_cell_length_c 6.6502
_cell_angle_alpha 90.00
_cell_angle_beta 90.00
_cell_angle_gamma 120.00
loop_
_atom_site_label
_atom_site_type_symbol
_atom_site_fract_x
_atom_site_fract_y
_atom_site_fract_z
_atom_site_occupancy
Tl1 Tl 0.0062 0.4488 0.0000 1
Tl2 Tl 0.3257 0.2146 0.5237 1
In1 In 0.0000 0.0000 0.1088 1
In2 In 0.3333 0.6667 0.5917 1
In3 In 0.6667 0.3333 0.2587 1
Br1 Br 0.0000 0.0000 0.7275 1
Br2 Br 0.0809 0.2219 0.2423 1
Br3 Br 0.1901 0.7444 0.7287 1
Br4 Br 0.3333 0.6667 0.2113 1
Br5 Br 0.4337 0.2551 0.0239 1
Br6 Br 0.5142 0.1001 0.4923 1

# TlIn2Br4 PBE optimized geometry
# DOS at the Fermi energy in states/eV/atom: 0.329
# Energy relative to the elements, uncorrected in kJ/mol of atoms: -55.4
# ΔE to the lowest computed polymorph in meV per atom: 163
data_TlIn2Br4
_chemical_formula_sum 'Tl2 In4 Br8'
_symmetry_space_group_name_H-M 'I 4/m m m'
_symmetry_Int_Tables_number 139
_symmetry_space_group_name_Hall '-I 4 2'
_cell_length_a 6.218
_cell_length_b 6.218
_cell_length_c 14.497
_cell_angle_alpha 90.00
_cell_angle_beta 90.00
_cell_angle_gamma 90.00
loop_
_atom_site_label
_atom_site_type_symbol
_atom_site_fract_x
_atom_site_fract_y
_atom_site_fract_z
_atom_site_occupancy
Tl1 Tl 0.000 0.000 0.000 1
In1 In 0.000 0.000 0.393 1
Br1 Br 0.000 0.000 0.206 1
Br2 Br 0.000 0.500 0.000 1

# TlIn6Br8 PBE optimized geometry
# DOS at the Fermi energy in states/eV/atom: 0.540
# Energy relative to the elements, uncorrected in kJ/mol of atoms: -61.5
# ΔE to the lowest computed polymorph in meV per atom: 0
data_TlIn6Br8
_chemical_formula_sum 'Tl1 In6 Br8'
_symmetry_space_group_name_H-M 'P -3'
_symmetry_Int_Tables_number 147
_symmetry_space_group_name_Hall '-P 3'
_cell_length_a 11.4282
_cell_length_b 11.4282
_cell_length_c 4.7259
_cell_angle_alpha 90.00
_cell_angle_beta 90.00
_cell_angle_gamma 120.00
loop_
_atom_site_label
_atom_site_type_symbol
_atom_site_fract_x
_atom_site_fract_y
_atom_site_fract_z
_atom_site_occupancy
Tl1 Tl 0.0000 0.0000 0.0000 1
In1 In 0.1240 0.4609 0.7471 1
Br1 Br 0.0352 0.7353 0.7524 1
Br2 Br 0.3333 0.6667 0.2465 1

# Tl2InBr4 PBE optimized geometry
# DOS at the Fermi energy in states/eV/atom: 0.530
# Energy relative to the elements, uncorrected in kJ/mol of atoms: -72.1
# ΔE to the lowest computed polymorph in meV per atom: 43
data_Tl2InBr4
_chemical_formula_sum 'Tl4 In2 Br8'
_symmetry_space_group_name_H-M 'C 1 2/m 1'
_symmetry_Int_Tables_number 12
_symmetry_space_group_name_Hall '-C 2y'
_cell_length_a 15.659
_cell_length_b 4.351
_cell_length_c 8.790
_cell_angle_alpha 90.00
_cell_angle_beta 119.09
_cell_angle_gamma 90.00
loop_
_atom_site_label
_atom_site_type_symbol
_atom_site_fract_x
_atom_site_fract_y
_atom_site_fract_z
_atom_site_occupancy
Tl1 Tl 0.199 0.000 0.185 1
In1 In 0.000 0.500 0.500 1
Br1 Br 0.105 0.500 0.875 1
Br2 Br 0.135 0.000 0.510 1

# Tl2InBr2 PBE optimized geometry
# DOS at the Fermi energy in states/eV/atom: 0.347
# Energy relative to the elements, uncorrected in kJ/mol of atoms: -41.7
# ΔE to the lowest computed polymorph in meV per atom: 63
data_Tl2InBr2
_chemical_formula_sum 'Tl4 In2 Br4'
_symmetry_space_group_name_H-M 'I 4/m m m'
_symmetry_Int_Tables_number 139
_symmetry_space_group_name_Hall '-I 4 2'
_cell_length_a 6.369
_cell_length_b 6.369
_cell_length_c 9.515
_cell_angle_alpha 90.00
_cell_angle_beta 90.00
_cell_angle_gamma 90.00
loop_
_atom_site_label
_atom_site_type_symbol
_atom_site_fract_x
_atom_site_fract_y
_atom_site_fract_z
_atom_site_occupancy
Tl1 Tl 0.000 0.000 0.170 1
In1 In 0.000 0.000 0.500 1
Br1 Br 0.000 0.500 0.250 1

# Tl4InBr PBE optimized geometry
# DOS at the Fermi energy in states/eV/atom: 0.693
# Energy relative to the elements, uncorrected in kJ/mol of atoms: -3.3
data_Tl4InBr
_chemical_formula_sum 'Tl16 In4 Br4'
_symmetry_space_group_name_H-M 'F -4 3 m'
_symmetry_Int_Tables_number 216
_symmetry_space_group_name_Hall 'F -4 2 3'
_cell_length_a 9.228
_cell_length_b 9.228
_cell_length_c 9.228
_cell_angle_alpha 90.00
_cell_angle_beta 90.00
_cell_angle_gamma 90.00
loop_
_atom_site_label
_atom_site_type_symbol
_atom_site_fract_x
_atom_site_fract_y
_atom_site_fract_z
_atom_site_occupancy
Tl1 Tl 0.125 0.125 0.125 1
In1 In 0.000 0.000 0.500 1
Br1 Br 0.250 0.250 0.750 1

# Tl3InBr PBE optimized geometry
# DOS at the Fermi energy in states/eV/atom: 0.642
# Energy relative to the elements, uncorrected in kJ/mol of atoms: 0.8
# ΔE to the lowest computed polymorph in meV per atom: 0
data_Tl3InBr
_chemical_formula_sum 'Tl3 In1 Br1'
_symmetry_space_group_name_H-M 'P m -3 m'
_symmetry_Int_Tables_number 221
_symmetry_space_group_name_Hall '-P 4 2 3'
_cell_length_a 5.886
_cell_length_b 5.886
_cell_length_c 5.886
_cell_angle_alpha 90.00
_cell_angle_beta 90.00
_cell_angle_gamma 90.00
loop_
_atom_site_label
_atom_site_type_symbol
_atom_site_fract_x
_atom_site_fract_y
_atom_site_fract_z
_atom_site_occupancy
Tl1 Tl 0.000 0.000 0.500 1
In1 In 0.000 0.000 0.000 1
Br1 Br 0.500 0.500 0.500 1

# TlIn6Br8 PBE optimized geometry
# DOS at the Fermi energy in states/eV/atom: 0.447
# Energy relative to the elements, uncorrected in kJ/mol of atoms: -59.8
# ΔE to the lowest computed polymorph in meV per atom: 17
data_TlIn6Br8
_chemical_formula_sum 'Tl3 In18 Br24'
_symmetry_space_group_name_H-M 'R -3'
_symmetry_Int_Tables_number 148
_symmetry_space_group_name_Hall '-R 3'
_cell_length_a 11.8477
_cell_length_b 11.8477
_cell_length_c 14.1111
_cell_angle_alpha 90.00
_cell_angle_beta 90.00
_cell_angle_gamma 120.00
loop_
_atom_site_label
_atom_site_type_symbol
_atom_site_fract_x
_atom_site_fract_y
_atom_site_fract_z
_atom_site_occupancy
Tl1 Tl 0.0000 0.0000 0.0000 1
In1 In 0.0270 0.1870 0.6018 1
Br1 Br 0.0000 0.0000 0.2351 1
Br2 Br 0.0134 0.3659 0.7275 1

# Tl2In2Br PBE optimized geometry
# DOS at the Fermi energy in states/eV/atom: 0.552
# Energy relative to the elements, uncorrected in kJ/mol of atoms: -14.1
# ΔE to the lowest computed polymorph in meV per atom: 0
data_Tl2In2Br
_chemical_formula_sum 'Tl4 In4 Br2'
_symmetry_space_group_name_H-M 'I 4/m m m'
_symmetry_Int_Tables_number 139
_symmetry_space_group_name_Hall '-I 4 2'
_cell_length_a 4.306
_cell_length_b 4.306
_cell_length_c 17.957
_cell_angle_alpha 90.00
_cell_angle_beta 90.00
_cell_angle_gamma 90.00
loop_
_atom_site_label
_atom_site_type_symbol
_atom_site_fract_x
_atom_site_fract_y
_atom_site_fract_z
_atom_site_occupancy
Tl1 Tl 0.000 0.000 0.089 1
In1 In 0.000 0.500 0.250 1
Br1 Br 0.000 0.000 0.500 1

# Tl2InBr PBE optimized geometry
# DOS at the Fermi energy in states/eV/atom: 0.223
# Energy relative to the elements, uncorrected in kJ/mol of atoms: -23.7
# ΔE to the lowest computed polymorph in meV per atom: 22
data_Tl2InBr
_chemical_formula_sum 'Tl2 In1 Br1'
_symmetry_space_group_name_H-M 'P 1 2/m 1'
_symmetry_Int_Tables_number 10
_symmetry_space_group_name_Hall '-P 2y'
_cell_length_a 4.075
_cell_length_b 4.631
_cell_length_c 6.708
_cell_angle_alpha 90.00
_cell_angle_beta 90.06
_cell_angle_gamma 90.00
loop_
_atom_site_label
_atom_site_type_symbol
_atom_site_fract_x
_atom_site_fract_y
_atom_site_fract_z
_atom_site_occupancy
Tl1 Tl 0.004 0.000 0.247 1
In1 In 0.500 0.500 0.500 1
Br1 Br 0.500 0.500 0.000 1

# Tl2InBr PBE optimized geometry
# DOS at the Fermi energy in states/eV/atom: 0.375
# Energy relative to the elements, uncorrected in kJ/mol of atoms: -21.8
# ΔE to the lowest computed polymorph in meV per atom: 41
data_Tl2InBr
_chemical_formula_sum 'Tl4 In2 Br2'
_symmetry_space_group_name_H-M 'C m m m'
_symmetry_Int_Tables_number 65
_symmetry_space_group_name_Hall '-C 2 2'
_cell_length_a 5.174
_cell_length_b 5.189
_cell_length_c 9.226
_cell_angle_alpha 90.00
_cell_angle_beta 90.00
_cell_angle_gamma 90.00
loop_
_atom_site_label
_atom_site_type_symbol
_atom_site_fract_x
_atom_site_fract_y
_atom_site_fract_z
_atom_site_occupancy
Tl1 Tl 0.000 0.000 0.239 1
In1 In 0.000 0.500 0.500 1
Br1 Br 0.000 0.500 0.000 1

# Tl2InBr2 PBE optimized geometry
# DOS at the Fermi energy in states/eV/atom: 0.414
# Energy relative to the elements, uncorrected in kJ/mol of atoms: -47.8
# ΔE to the lowest computed polymorph in meV per atom: 0
data_Tl2InBr2
_chemical_formula_sum 'Tl4 In2 Br4'
_symmetry_space_group_name_H-M 'P 4/m b m'
_symmetry_Int_Tables_number 127
_symmetry_space_group_name_Hall '-P 4 2ab'
_cell_length_a 8.833
_cell_length_b 8.833
_cell_length_c 4.449
_cell_angle_alpha 90.00
_cell_angle_beta 90.00
_cell_angle_gamma 90.00
loop_
_atom_site_label
_atom_site_type_symbol
_atom_site_fract_x
_atom_site_fract_y
_atom_site_fract_z
_atom_site_occupancy
Tl1 Tl 0.158 0.342 0.000 1
In1 In 0.000 0.000 0.500 1
Br1 Br 0.153 0.653 0.500 1

# Tl5InBr6 PBE optimized geometry
# DOS at the Fermi energy in states/eV/atom: 0.000
# Energy relative to the elements, uncorrected in kJ/mol of atoms: -79.8
data_Tl5InBr6
_chemical_formula_sum 'Tl10 In2 Br12'
_symmetry_space_group_name_H-M 'C 1 2/m 1'
_symmetry_Int_Tables_number 12
_symmetry_space_group_name_Hall '-C 2y'
_cell_length_a 8.256
_cell_length_b 14.276
_cell_length_c 8.252
_cell_angle_alpha 90.00
_cell_angle_beta 109.41
_cell_angle_gamma 90.00
loop_
_atom_site_label
_atom_site_type_symbol
_atom_site_fract_x
_atom_site_fract_y
_atom_site_fract_z
_atom_site_occupancy
Tl1 Tl 0.000 0.000 0.000 1
Tl2 Tl 0.000 0.167 0.500 1
Tl3 Tl 0.000 0.333 0.000 1
In1 In 0.000 0.500 0.500 1
Br1 Br 0.249 0.334 0.749 1
Br2 Br 0.249 0.500 0.251 1

# TlIn5Br6 PBE optimized geometry
# Energy relative to the elements, uncorrected in kJ/mol of atoms: -65.7
data_TlIn5Br6
_chemical_formula_sum 'Tl2 In10 Br12'
_symmetry_space_group_name_H-M 'C 1 2/m 1'
_symmetry_Int_Tables_number 12
_symmetry_space_group_name_Hall '-C 2y'
_cell_length_a 8.204
_cell_length_b 14.182
_cell_length_c 8.200
_cell_angle_alpha 90.00
_cell_angle_beta 109.41
_cell_angle_gamma 90.00
loop_
_atom_site_label
_atom_site_type_symbol
_atom_site_fract_x
_atom_site_fract_y
_atom_site_fract_z
_atom_site_occupancy
Tl1 Tl 0.000 0.000 0.000 1
In1 In 0.000 0.166 0.500 1
In2 In 0.000 0.333 0.000 1
In3 In 0.000 0.500 0.500 1
Br1 Br 0.248 0.500 0.250 1
Br2 Br 0.249 0.332 0.749 1

# Tl2InBr PBE optimized geometry
# DOS at the Fermi energy in states/eV/atom: 0.478
# Energy relative to the elements, uncorrected in kJ/mol of atoms: -19.2
# ΔE to the lowest computed polymorph in meV per atom: 68
data_Tl2InBr
_chemical_formula_sum 'Tl2 In1 Br1'
_symmetry_space_group_name_H-M 'P 4 m m'
_symmetry_Int_Tables_number 99
_symmetry_space_group_name_Hall 'P 4 -2'
_cell_length_a 3.708
_cell_length_b 3.708
_cell_length_c 8.965
_cell_angle_alpha 90.00
_cell_angle_beta 90.00
_cell_angle_gamma 90.00
loop_
_atom_site_label
_atom_site_type_symbol
_atom_site_fract_x
_atom_site_fract_y
_atom_site_fract_z
_atom_site_occupancy
Tl1 Tl 0.000 0.000 0.000 1
Tl2 Tl 0.500 0.500 0.277 1
In1 In 0.500 0.500 0.757 1
Br1 Br 0.000 0.000 0.516 1

# TlIn3Br6 PBE optimized geometry
# DOS at the Fermi energy in states/eV/atom: 0.000
# Energy relative to the elements, uncorrected in kJ/mol of atoms: -73.3
data_TlIn3Br6
_chemical_formula_sum 'Tl2 In6 Br12'
_symmetry_space_group_name_H-M 'P 1 21/c 1'
_symmetry_Int_Tables_number 14
_symmetry_space_group_name_Hall '-P 2ybc'
_cell_length_a 7.512
_cell_length_b 8.692
_cell_length_c 12.965
_cell_angle_alpha 90.00
_cell_angle_beta 120.86
_cell_angle_gamma 90.00
loop_
_atom_site_label
_atom_site_type_symbol
_atom_site_fract_x
_atom_site_fract_y
_atom_site_fract_z
_atom_site_occupancy
Tl1 Tl 0.000 0.000 0.000 1
In1 In 0.196 0.076 0.729 1
In2 In 0.500 0.000 0.500 1
Br1 Br 0.161 0.161 0.468 1
Br2 Br 0.265 0.739 0.418 1
Br3 Br 0.405 0.072 0.272 1